# 1
# HfMgNpS4

HfMgNpS4 after structural relaxation (GGA-PBE, Alexandria).

Unit cell a=7.5418 b=7.8527 c=10.9521 alpha=90.00 beta=90.00 gamma=90.00
With the nearest neighbours (Å) after each atom.
Space group Imma (No. 74)
Asymmetric unit:
Hf1 0.2500 0.2500 0.2500 [4 per cell]  6 S 2.57-2.61
Mg1 0.0000 0.2500 0.6268 [4 per cell]  4 S 2.44-2.49
Np1 0.0000 0.0000 0.0000 [4 per cell]  6 S 2.73-2.77
S1 0.0000 0.0194 0.2526 [8 per cell]  1 Mg 2.49, 2 Hf 2.61, 1 Np 2.77
S2 0.2491 0.2500 0.4845 [8 per cell]  1 Mg 2.44, 1 Hf 2.57, 2 Np 2.73

Calculated values
The uncorrected formation energy comes out at -1.3785 eV per atom. The crystal system is orthorhombic. Its calculated total energy is -50.6 eV/f.u. The calculation puts the total magnetization at 4.50 μB per formula unit.


# 2
# HfMgO2

HfMgO2 after structural relaxation (GGA-PBE, Alexandria).

Unit cell a=3.3698 b=3.3698 c=17.6255 alpha=90.00 beta=90.00 gamma=120.00
With the nearest neighbours (Å) after each atom.
Space group R-3m (No. 166, hexagonal axes)
Asymmetric unit:
Hf1 0.0000 0.0000 0.0000 [3 per cell]  6 O 2.13
Mg1 0.0000 0.0000 0.5000 [3 per cell]  2 O 2.08
O1 0.0000 0.0000 0.3822 [6 per cell]  1 Mg 2.08, 3 Hf 2.13

Calculated values
The uncorrected formation energy comes out at -2.4493 eV per atom. The crystal system is trigonal. Its calculated total energy is -31.3 eV/f.u. The calculation puts the total magnetization at 0.00 μB per formula unit.


# 3
# Hf6MgO12

Hf6MgO12 after structural relaxation (GGA-PBE, Alexandria).

Unit cell a=9.4246 b=9.4246 c=8.6121 alpha=90.00 beta=90.00 gamma=120.00
With the nearest neighbours (Å) after each atom.
Space group R-3 (No. 148, hexagonal axes)
Asymmetric unit:
Hf1 0.0524 0.2648 0.1507 [18 per cell]  6 O 2.07-2.30
Mg1 0.0000 0.0000 0.5000 [3 per cell]  6 O 2.08
O1 0.0374 0.2112 0.8892 [18 per cell]  4 Hf 2.09-2.30
O2 0.0376 0.2121 0.3887 [18 per cell]  2 Hf 2.07-2.10, 1 Mg 2.08

Calculated values
The uncorrected formation energy comes out at -3.2763 eV per atom. The crystal system is trigonal. Its calculated total energy is -183.1 eV/f.u. The calculation puts the total magnetization at 1.27 μB per formula unit.


# 4
# HfMg3O

HfMg3O after structural relaxation (GGA-PBE, Alexandria).

Unit cell a=5.7242 b=5.7242 c=5.7242 alpha=90.00 beta=90.00 gamma=90.00
With the nearest neighbours (Å) after each atom.
Space group Pm-3m (No. 221)
Asymmetric unit:
Hf1 0.0000 0.0000 0.0000 [1 per cell]  6 Mg 2.86
Mg1 0.0000 0.0000 0.5000 [3 per cell]  2 Hf 2.86
O1 0.5000 0.5000 0.5000 [1 per cell]  12 Mg 4.05

Calculated values
The uncorrected formation energy comes out at 1.5887 eV per atom. The crystal system is cubic. Its calculated total energy is -11.8 eV/f.u. The calculation puts the total magnetization at 0.00 μB per formula unit.


# 5
# HfMg3O

HfMg3O after structural relaxation (GGA-PBE, Alexandria).

Unit cell a=4.4506 b=4.4506 c=4.4506 alpha=90.00 beta=90.00 gamma=90.00
With the nearest neighbours (Å) after each atom.
Space group Pm-3m (No. 221)
Asymmetric unit:
Hf1 0.0000 0.0000 0.0000 [1 per cell]  12 Mg 3.15
Mg1 0.0000 0.5000 0.5000 [3 per cell]  2 O 2.23
O1 0.5000 0.5000 0.5000 [1 per cell]  6 Mg 2.23

Calculated values
The uncorrected formation energy comes out at -0.4481 eV per atom. The crystal system is cubic. Its calculated total energy is -21.9 eV/f.u. The calculation puts the total magnetization at 1.16 μB per formula unit.


# 6
# HfMgO2

HfMgO2 after structural relaxation (GGA-PBE, Alexandria).

Unit cell a=4.8897 b=4.8897 c=9.6088 alpha=90.00 beta=90.00 gamma=90.00
With the nearest neighbours (Å) after each atom.
Space group I-42d (No. 122)
Asymmetric unit:
Hf1 0.0000 0.0000 0.0000 [4 per cell]  4 O 2.11
Mg1 0.0000 0.0000 0.5000 [4 per cell]  4 O 2.10
O1 0.2484 0.2500 0.6250 [8 per cell]  2 Mg 2.10, 2 Hf 2.11

Calculated values
The uncorrected formation energy comes out at -2.1432 eV per atom. The crystal system is tetragonal. Its calculated total energy is -30.0 eV/f.u. The calculation puts the total magnetization at 1.54 μB per formula unit.


# 7
# Hf3MgO

Hf3MgO after structural relaxation (GGA-PBE, Alexandria).

Unit cell a=4.4717 b=4.4717 c=4.4717 alpha=90.00 beta=90.00 gamma=90.00
With the nearest neighbours (Å) after each atom.
Space group Pm-3m (No. 221)
Asymmetric unit:
Hf1 0.0000 0.0000 0.5000 [3 per cell]  2 O 2.24
Mg1 0.5000 0.5000 0.5000 [1 per cell]  12 Hf 3.16
O1 0.0000 0.0000 0.0000 [1 per cell]  6 Hf 2.24

Calculated values
The uncorrected formation energy comes out at -0.9105 eV per atom. The crystal system is cubic. Its calculated total energy is -41.0 eV/f.u. The calculation puts the total magnetization at 0.00 μB per formula unit.


# 8
# HfMg2OsO8

HfMg2OsO8 after structural relaxation (GGA-PBE, Alexandria).

Unit cell a=6.5845 b=6.8980 c=6.2239 alpha=90.00 beta=90.00 gamma=90.00
With the nearest neighbours (Å) after each atom.
Space group Cmmm (No. 65)
Asymmetric unit:
Hf1 0.0000 0.0000 0.0000 [2 per cell]  6 O 1.98-2.15
Mg1 0.0000 0.5000 0.2455 [4 per cell]  6 O 2.01-2.17
Os1 0.0000 0.0000 0.5000 [2 per cell]  6 O 1.87-1.89
O1 0.0000 0.1866 0.2769 [8 per cell]  1 Os 1.89
O2 0.1992 0.5000 0.0000 [4 per cell]  1 Hf 1.98, 2 Mg 2.01
O3 0.2166 0.5000 0.5000 [4 per cell]  1 Os 1.87

Calculated values
The uncorrected formation energy comes out at -2.0320 eV per atom. The crystal system is orthorhombic. Its calculated total energy is -88.4 eV/f.u. The calculation puts the total magnetization at 0.00 μB per formula unit.


# 9
# HfMgP2O

HfMgP2O after structural relaxation (GGA-PBE, Alexandria).

Unit cell a=5.1620 b=5.1620 c=3.9208 alpha=90.00 beta=90.00 gamma=90.00
With the nearest neighbours (Å) after each atom.
Space group P4/mmm (No. 123)
Asymmetric unit:
Hf1 0.0000 0.0000 0.0000 [1 per cell]  2 O 1.96
Mg1 0.5000 0.5000 0.5000 [1 per cell]  8 P 3.24
P1 0.0000 0.5000 0.0000 [2 per cell]  2 Hf 2.58
O1 0.0000 0.0000 0.5000 [1 per cell]  2 Hf 1.96

Calculated values
The uncorrected formation energy comes out at -0.7123 eV per atom. The crystal system is tetragonal. Its calculated total energy is -30.9 eV/f.u. The calculation puts the total magnetization at 0.00 μB per formula unit.


# 10
# HfMgP2O

HfMgP2O after structural relaxation (GGA-PBE, Alexandria).

Unit cell a=4.8024 b=4.8024 c=3.6519 alpha=90.00 beta=90.00 gamma=90.00
With the nearest neighbours (Å) after each atom.
Space group P4/mmm (No. 123)
Asymmetric unit:
Hf1 0.0000 0.0000 0.0000 [1 per cell]  8 P 3.02
Mg1 0.5000 0.5000 0.5000 [1 per cell]  2 O 1.83
P1 0.0000 0.5000 0.5000 [2 per cell]  2 Mg 2.40
O1 0.5000 0.5000 0.0000 [1 per cell]  2 Mg 1.83

Calculated values
The uncorrected formation energy comes out at -0.1121 eV per atom. The crystal system is tetragonal. Its calculated total energy is -27.9 eV/f.u. The calculation puts the total magnetization at 0.00 μB per formula unit.


# 11
# PuHfMgO6

PuHfMgO6 after structural relaxation (GGA-PBE, Alexandria).

Unit cell a=5.4839 b=5.4839 c=9.0093 alpha=90.00 beta=90.00 gamma=120.00
With the nearest neighbours (Å) after each atom.
Space group P-31c (No. 163)
Asymmetric unit:
Pu1 0.3333 0.6667 0.2500 [2 per cell]  6 O 2.08
Hf1 0.3333 0.6667 0.7500 [2 per cell]  6 O 2.09
Mg1 0.0000 0.0000 0.0000 [2 per cell]  6 O 2.24
O1 0.0023 0.3458 0.1326 [12 per cell]  1 Pu 2.08, 1 Hf 2.09, 1 Mg 2.24

Calculated values
The uncorrected formation energy comes out at -2.7634 eV per atom. The crystal system is trigonal. Its calculated total energy is -80.5 eV/f.u. The calculation puts the total magnetization at 2.00 μB per formula unit.


# 12
# RbHf2Mg2O7

RbHf2Mg2O7 after structural relaxation (GGA-PBE, Alexandria).

Unit cell a=4.1720 b=4.1720 c=17.9205 alpha=90.00 beta=90.00 gamma=90.00
With the nearest neighbours (Å) after each atom.
Space group I4/mmm (No. 139)
Asymmetric unit:
Rb1 0.0000 0.0000 0.0000 [2 per cell]  12 O 2.95-3.09
Hf1 0.0000 0.0000 0.3856 [4 per cell]  6 O 2.05-2.15
Mg1 0.0000 0.5000 0.2500 [4 per cell]  6 O 2.10-2.20
O1 0.0000 0.0000 0.2656 [4 per cell]  4 Mg 2.10, 1 Hf 2.15
O2 0.0000 0.0000 0.5000 [2 per cell]  2 Hf 2.05
O3 0.0000 0.5000 0.1273 [8 per cell]  2 Hf 2.10, 1 Mg 2.20

Calculated values
The uncorrected formation energy comes out at -2.8078 eV per atom. The crystal system is tetragonal. Its calculated total energy is -92.5 eV/f.u. The calculation puts the total magnetization at 1.06 μB per formula unit.


# 13
# RbHf2MgO

RbHf2MgO after structural relaxation (GGA-PBE, Alexandria).

Unit cell a=5.1492 b=5.1492 c=5.2057 alpha=90.00 beta=90.00 gamma=90.00
With the nearest neighbours (Å) after each atom.
Space group P4/mmm (No. 123)
Asymmetric unit:
Rb1 0.0000 0.0000 0.0000 [1 per cell]  4 Hf 2.57, 2 Mg 2.60
Hf1 0.0000 0.5000 0.0000 [2 per cell]  2 Rb 2.57
Mg1 0.0000 0.0000 0.5000 [1 per cell]  2 Rb 2.60
O1 0.5000 0.5000 0.5000 [1 per cell]  4 Mg 3.64, 8 Hf 3.66

Calculated values
The uncorrected formation energy comes out at 2.6501 eV per atom. The crystal system is tetragonal. Its calculated total energy is -14.2 eV/f.u. The calculation puts the total magnetization at 0.00 μB per formula unit.


# 14
# HfMg2ReO8

HfMg2ReO8 after structural relaxation (GGA-PBE, Alexandria).

Unit cell a=6.5920 b=6.8865 c=6.2290 alpha=90.00 beta=90.00 gamma=90.00
With the nearest neighbours (Å) after each atom.
Space group Cmmm (No. 65)
Asymmetric unit:
Hf1 0.0000 0.0000 0.0000 [2 per cell]  6 O 2.00-2.14
Mg1 0.0000 0.5000 0.2528 [4 per cell]  6 O 2.04-2.16
Re1 0.0000 0.0000 0.5000 [2 per cell]  6 O 1.87-1.91
O1 0.0000 0.1873 0.2734 [8 per cell]  1 Re 1.91, 1 Hf 2.14
O2 0.1961 0.5000 0.0000 [4 per cell]  1 Hf 2.00, 2 Mg 2.04
O3 0.2157 0.5000 0.5000 [4 per cell]  1 Re 1.87, 2 Mg 2.10

Calculated values
The uncorrected formation energy comes out at -2.2224 eV per atom. The crystal system is orthorhombic. Its calculated total energy is -91.9 eV/f.u. The calculation puts the total magnetization at 0.85 μB per formula unit.


# 15
# Hf2MgReO

Hf2MgReO after structural relaxation (GGA-PBE, Alexandria).

Unit cell a=4.9447 b=4.9447 c=5.0454 alpha=90.00 beta=90.00 gamma=90.00
With the nearest neighbours (Å) after each atom.
Space group P4/mmm (No. 123)
Asymmetric unit:
Hf1 0.0000 0.5000 0.0000 [2 per cell]  2 Re 2.47
Mg1 0.0000 0.0000 0.5000 [1 per cell]  2 Re 2.52
Re1 0.0000 0.0000 0.0000 [1 per cell]  4 Hf 2.47, 2 Mg 2.52
O1 0.5000 0.5000 0.5000 [1 per cell]  4 Mg 3.50, 8 Hf 3.53

Calculated values
The uncorrected formation energy comes out at 0.8886 eV per atom. The crystal system is tetragonal. Its calculated total energy is -34.5 eV/f.u. The calculation puts the total magnetization at 0.00 μB per formula unit.


# 16
# HfMg2RhO

HfMg2RhO after structural relaxation (GGA-PBE, Alexandria).

Unit cell a=3.9286 b=3.9286 c=5.3372 alpha=90.00 beta=90.00 gamma=90.00
With the nearest neighbours (Å) after each atom.
Space group P4/mmm (No. 123)
Asymmetric unit:
Hf1 0.0000 0.0000 0.0000 [1 per cell]  4 Rh 2.78
Mg1 0.0000 0.5000 0.5000 [2 per cell]  2 O 1.96
Rh1 0.5000 0.5000 0.0000 [1 per cell]  2 O 2.67, 4 Hf 2.78
O1 0.5000 0.5000 0.5000 [1 per cell]  4 Mg 1.96

Calculated values
The uncorrected formation energy comes out at -0.6929 eV per atom. The crystal system is tetragonal. Its calculated total energy is -28.9 eV/f.u. The calculation puts the total magnetization at 0.00 μB per formula unit.


# 17
# HfMgRuO6

HfMgRuO6 after structural relaxation (GGA-PBE, Alexandria).

Unit cell a=5.2120 b=5.2120 c=9.0086 alpha=90.00 beta=90.00 gamma=120.00
With the nearest neighbours (Å) after each atom.
Space group P-31c (No. 163)
Asymmetric unit:
Hf1 0.3333 0.6667 0.2500 [2 per cell]  6 O 2.08
Mg1 0.0000 0.0000 0.0000 [2 per cell]  6 O 2.16
Ru1 0.3333 0.6667 0.7500 [2 per cell]  6 O 1.95
O1 0.0192 0.3561 0.6308 [12 per cell]  1 Ru 1.95, 1 Hf 2.08, 1 Mg 2.16

Calculated values
The uncorrected formation energy comes out at -2.0130 eV per atom. The crystal system is trigonal. Its calculated total energy is -68.7 eV/f.u. The calculation puts the total magnetization at 2.02 μB per formula unit.


# 18
# HfMgSbO6

HfMgSbO6 after structural relaxation (GGA-PBE, Alexandria).

Unit cell a=5.3706 b=5.3706 c=8.8836 alpha=90.00 beta=90.00 gamma=120.00
With the nearest neighbours (Å) after each atom.
Space group P-31c (No. 163)
Asymmetric unit:
Hf1 0.3333 0.6667 0.2500 [2 per cell]  6 O 2.10
Mg1 0.0000 0.0000 0.0000 [2 per cell]  6 O 2.18
Sb1 0.3333 0.6667 0.7500 [2 per cell]  6 O 2.02
O1 0.0117 0.3506 0.6303 [12 per cell]  1 Sb 2.02, 1 Hf 2.10, 1 Mg 2.18

Calculated values
The uncorrected formation energy comes out at -2.1490 eV per atom. The crystal system is trigonal. Its calculated total energy is -64.8 eV/f.u. The calculation puts the total magnetization at 1.03 μB per formula unit.


# 19
# HfMgSc2O

HfMgSc2O after structural relaxation (GGA-PBE, Alexandria).

Unit cell a=4.4971 b=4.4971 c=4.4371 alpha=90.00 beta=90.00 gamma=90.00
With the nearest neighbours (Å) after each atom.
Space group P4/mmm (No. 123)
Asymmetric unit:
Hf1 0.0000 0.0000 0.0000 [1 per cell]  2 O 2.22
Mg1 0.5000 0.5000 0.0000 [1 per cell]  8 Sc 3.16, 4 Hf 3.18
Sc1 0.0000 0.5000 0.5000 [2 per cell]  2 O 2.25
O1 0.0000 0.0000 0.5000 [1 per cell]  2 Hf 2.22, 4 Sc 2.25

Calculated values
The uncorrected formation energy comes out at -1.1197 eV per atom. The crystal system is tetragonal. Its calculated total energy is -34.8 eV/f.u. The calculation puts the total magnetization at 0.00 μB per formula unit.


# 20
# Sm2HfMgO6

Sm2HfMgO6 after structural relaxation (GGA-PBE, Alexandria).

Unit cell a=5.5316 b=5.7772 c=9.6819 alpha=90.00 beta=124.19 gamma=90.00
With the nearest neighbours (Å) after each atom.
Space group P2_1/c (No. 14)
Asymmetric unit:
Sm1 0.2294 0.0585 0.2479 [4 per cell]  5 O 2.30-2.58
Hf1 0.5000 0.0000 0.0000 [2 per cell]  6 O 2.08-2.10
Mg1 0.0000 0.0000 0.5000 [2 per cell]  6 O 2.11-2.15
O1 0.1401 0.1963 0.9419 [4 per cell]  1 Hf 2.08, 1 Mg 2.12
O2 0.2415 0.7024 0.9365 [4 per cell]  1 Hf 2.10, 1 Mg 2.11, 1 Sm 2.34
O3 0.3690 0.0453 0.7528 [4 per cell]  1 Hf 2.09, 1 Mg 2.15, 1 Sm 2.30

Calculated values
The uncorrected formation energy comes out at -3.3434 eV per atom. The crystal system is monoclinic. Its calculated total energy is -84.2 eV/f.u. The calculation puts the total magnetization at 0.00 μB per formula unit.